[1]
# In5Si2Au12, optimized geometry, DFT PBE
# - total energy (eV for the cell shown) = -131.01
data_In5Si2Au12
_chemical_formula_sum 'In10 Si4 Au24'
_cell_length_a 12.5311
_cell_length_b 8.9386
_cell_length_c 7.1002
_cell_angle_alpha 90.00
_cell_angle_beta 106.49
_cell_angle_gamma 90.00
_symmetry_space_group_name_H-M 'C 1 2/m 1'
_symmetry_Int_Tables_number 12
loop_
_symmetry_equiv_pos_as_xyz
'x,y,z'
'-x,-y,-z'
'-x,y,-z'
'x,-y,z'
'x+1/2,y+1/2,z'
'-x+1/2,-y+1/2,-z'
'-x+1/2,y+1/2,-z'
'x+1/2,-y+1/2,z'
loop_
_atom_site_label
_atom_site_type_symbol
_atom_site_fract_x
_atom_site_fract_y
_atom_site_fract_z
In1 In 0.0000 0.0000 0.0000
In2 In 0.1778 0.5000 0.0950
In3 In 0.2133 0.5000 0.6350
Si1 Si 0.0000 0.2400 0.5000
Au1 Au 0.0056 0.5000 0.2963
Au2 Au 0.1217 0.0000 0.5704
Au3 Au 0.1236 0.2285 0.2649
Au4 Au 0.1481 0.2390 0.8449

[2]
# In2SiAu2, optimized geometry, DFT PBE
# - total energy (eV for the cell shown) = -34.02
# - distance to the lowest polymorph of the same formula (eV/atom) = 0.0000
data_In2SiAu2
_chemical_formula_sum 'In4 Si2 Au4'
_cell_length_a 6.9716
_cell_length_b 6.9716
_cell_length_c 4.4516
_cell_angle_alpha 90.00
_cell_angle_beta 90.00
_cell_angle_gamma 90.00
_symmetry_space_group_name_H-M 'P 4/m b m'
_symmetry_Int_Tables_number 127
_symmetry_space_group_name_Hall '-P 4 2ab'
loop_
_atom_site_label
_atom_site_type_symbol
_atom_site_fract_x
_atom_site_fract_y
_atom_site_fract_z
In1 In 0.1632 0.3368 0.0000
Si1 Si 0.0000 0.0000 0.5000
Au1 Au 0.1522 0.6522 0.5000

[3]
# In3SiAu, optimized geometry, DFT PBE
# - total energy (eV for the cell shown) = -14.37
# - distance to the lowest polymorph of the same formula (eV/atom) = 0.0629
data_In3SiAu
_chemical_formula_sum 'In3 Si1 Au1'
_cell_length_a 5.2973
_cell_length_b 5.2973
_cell_length_c 5.2973
_cell_angle_alpha 90.00
_cell_angle_beta 90.00
_cell_angle_gamma 90.00
_symmetry_space_group_name_H-M 'P m -3 m'
_symmetry_Int_Tables_number 221
_symmetry_space_group_name_Hall '-P 4 2 3'
loop_
_atom_site_label
_atom_site_type_symbol
_atom_site_fract_x
_atom_site_fract_y
_atom_site_fract_z
In1 In 0.0000 0.0000 0.5000
Si1 Si 0.5000 0.5000 0.5000
Au1 Au 0.0000 0.0000 0.0000

[4]
# In2SiAu7, optimized geometry, DFT PBE
# - total energy (eV for the cell shown) = -138.63
data_In2SiAu7
_chemical_formula_sum 'In8 Si4 Au28'
_cell_length_a 14.1339
_cell_length_b 6.6243
_cell_length_c 9.6368
_cell_angle_alpha 90.00
_cell_angle_beta 116.76
_cell_angle_gamma 90.00
_symmetry_space_group_name_H-M 'C 1 2/c 1'
_symmetry_Int_Tables_number 15
loop_
_symmetry_equiv_pos_as_xyz
'x,y,z'
'-x,-y,-z'
'-x,y,-z+1/2'
'x,-y,z+1/2'
'x+1/2,y+1/2,z'
'-x+1/2,-y+1/2,-z'
'-x+1/2,y+1/2,-z+1/2'
'x+1/2,-y+1/2,z+1/2'
loop_
_atom_site_label
_atom_site_type_symbol
_atom_site_fract_x
_atom_site_fract_y
_atom_site_fract_z
In1 In 0.1920 0.1198 0.2878
Si1 Si 0.0000 0.3196 0.7500
Au1 Au 0.0000 0.2996 0.2500
Au2 Au 0.0832 0.0610 0.9581
Au3 Au 0.0863 0.3465 0.5727
Au4 Au 0.1921 0.4382 0.9061

[5]
# In4SiAu, optimized geometry, DFT PBE
# - total energy (eV for the cell shown) = -67.11
data_In4SiAu
_chemical_formula_sum 'In16 Si4 Au4'
_cell_length_a 8.4878
_cell_length_b 8.4878
_cell_length_c 8.4878
_cell_angle_alpha 90.00
_cell_angle_beta 90.00
_cell_angle_gamma 90.00
_symmetry_space_group_name_H-M 'F -4 3 m'
_symmetry_Int_Tables_number 216
_symmetry_space_group_name_Hall 'F -4 2 3'
loop_
_atom_site_label
_atom_site_type_symbol
_atom_site_fract_x
_atom_site_fract_y
_atom_site_fract_z
In1 In 0.1250 0.1250 0.1250
Si1 Si 0.2500 0.2500 0.7500
Au1 Au 0.0000 0.0000 0.5000

[6]
# InSi2Au6, optimized geometry, DFT PBE
# - total energy (eV for the cell shown) = -66.20
data_InSi2Au6
_chemical_formula_sum 'In2 Si4 Au12'
_cell_length_a 12.5904
_cell_length_b 3.8002
_cell_length_c 8.4812
_cell_angle_alpha 90.00
_cell_angle_beta 120.14
_cell_angle_gamma 90.00
_symmetry_space_group_name_H-M 'C 1 2/m 1'
_symmetry_Int_Tables_number 12
loop_
_symmetry_equiv_pos_as_xyz
'x,y,z'
'-x,-y,-z'
'-x,y,-z'
'x,-y,z'
'x+1/2,y+1/2,z'
'-x+1/2,-y+1/2,-z'
'-x+1/2,y+1/2,-z'
'x+1/2,-y+1/2,z'
loop_
_atom_site_label
_atom_site_type_symbol
_atom_site_fract_x
_atom_site_fract_y
_atom_site_fract_z
In1 In 0.0000 0.0000 0.0000
Si1 Si 0.1873 0.5000 0.3591
Au1 Au 0.0841 0.0000 0.4151
Au2 Au 0.1085 0.5000 0.7047
Au3 Au 0.1971 0.5000 0.0819